Cs2IrCl7 (PBE, relaxed); ΔE_f (raw) = -0.99 eV per atom; crystal system = tetragonal; excess energy over the best structure of this formula in the dataset = 0.000 eV per atom
1.0
-3.862 3.862 5.533
3.862 -3.862 5.533
3.862 3.862 -5.533
Cs Ir Cl
2 1 7
Cartesian
3.862 0.000 2.766
0.000 3.862 2.766
0.000 0.000 0.000
0.000 0.000 2.339
1.655 1.655 0.000
2.207 -2.207 5.533
0.000 0.000 5.533
-2.207 2.207 5.533
2.207 2.207 5.533
0.000 0.000 8.727

---

Cs2IrCl5 (PBE, relaxed); ΔE_f (raw) = -1.18 eV per atom; crystal system = tetragonal
1.0
-3.831 3.831 4.911
3.831 -3.831 4.911
3.831 3.831 -4.911
Cs Ir Cl
2 1 5
Cartesian
3.831 0.000 0.000
0.000 3.831 0.000
0.000 0.000 2.605
2.167 2.167 -2.454
1.663 -1.663 2.456
-1.663 1.663 2.456
1.663 1.663 2.456
0.000 0.000 4.872

---

Cs3IrCl8 (PBE, relaxed); ΔE_f (raw) = -1.17 eV per atom; crystal system = hexagonal
1.0
10.290 0.000 0.000
-5.145 8.912 0.000
0.000 0.000 9.183
Cs Ir Cl
6 2 16
Cartesian
0.000 2.728 0.000
-2.782 7.547 0.000
2.363 1.364 4.592
2.782 7.547 0.000
7.927 1.364 4.592
5.145 6.183 4.592
0.000 5.941 4.029
5.145 2.971 8.621
0.000 0.000 2.327
0.000 0.000 6.918
-1.652 4.987 2.687
0.000 4.051 5.381
-1.636 6.886 5.381
0.000 5.941 8.225
1.652 4.987 2.687
0.000 7.849 2.687
3.509 2.026 0.789
1.636 6.886 5.381
5.145 1.063 7.279
3.493 3.924 7.279
5.145 2.971 3.634
6.782 2.026 0.789
5.145 4.860 0.789
6.797 3.924 7.279

---

Cs3Ir2Cl8 (PBE, relaxed); ΔE_f (raw) = -0.91 eV per atom; crystal system = trigonal
1.0
3.838 2.216 8.786
-3.838 2.216 8.786
0.000 -4.431 8.786
Cs Ir Cl
3 2 8
Cartesian
0.000 0.000 0.000
0.000 0.000 6.002
0.000 0.000 20.356
0.000 0.000 11.925
0.000 0.000 14.433
-2.036 -1.175 14.566
0.000 -2.350 11.792
-2.036 1.175 11.792
0.000 0.000 9.406
0.000 0.000 16.951
2.036 -1.175 14.566
0.000 2.350 14.566
2.036 1.175 11.792

---

CsIr2Cl (PBE, relaxed); ΔE_f (raw) = 1.91 eV per atom; crystal system = cubic
1.0
0.000 3.477 3.477
3.477 0.000 3.477
3.477 3.477 0.000
Cs Ir Cl
1 2 1
Cartesian
0.000 0.000 0.000
1.739 1.739 1.739
5.216 5.216 5.216
3.477 3.477 3.477

---

Cs3IrCl6 (PBE, relaxed); ΔE_f (raw) = -1.38 eV per atom; crystal system = trigonal; excess energy over the best structure of this formula in the dataset = 0.013 eV per atom
1.0
6.482 3.742 5.303
-6.482 3.742 5.303
0.000 -7.485 5.303
Cs Ir Cl
6 2 12
Cartesian
-4.418 -1.222 7.222
-1.151 -4.437 8.688
-3.267 3.215 8.688
3.267 -3.215 7.222
1.151 4.437 7.222
4.418 1.222 8.688
0.000 0.000 0.000
0.000 0.000 7.955
-4.558 -4.078 9.235
-5.811 1.909 6.674
1.253 -5.986 6.674
-0.929 -1.705 6.568
-1.012 1.657 6.568
-1.941 -0.048 9.341
1.941 0.048 6.568
1.012 -1.657 9.342
0.929 1.705 9.342
-1.253 5.986 9.235
5.811 -1.909 9.235
4.558 4.078 6.674

---

Cs2KIrCl6 (PBE, relaxed); ΔE_f (raw) = -1.41 eV per atom; crystal system = cubic
1.0
0.000 5.403 5.403
5.403 0.000 5.403
5.403 5.403 0.000
Cs K Ir Cl
2 1 1 6
Cartesian
2.702 2.702 2.702
8.105 8.105 8.105
0.000 0.000 0.000
5.403 5.403 5.403
5.403 5.403 3.029
5.403 3.029 5.403
7.777 5.403 5.403
3.029 5.403 5.403
5.403 7.777 5.403
5.403 5.403 7.777

---

CsK2IrCl6 (PBE, relaxed); ΔE_f (raw) = -1.36 eV per atom; crystal system = orthorhombic
1.0
7.049 0.000 0.000
0.000 10.950 0.000
0.000 0.000 9.156
Cs K Ir Cl
2 4 2 12
Cartesian
1.762 2.738 1.493
5.287 8.213 7.663
1.762 0.645 5.973
1.762 4.830 5.973
5.287 6.120 3.183
5.287 10.305 3.183
1.762 8.213 3.012
5.287 2.738 6.144
0.068 8.213 1.355
0.124 8.213 4.738
1.762 5.837 2.989
1.762 10.588 2.989
3.400 8.213 4.738
3.457 8.213 1.355
3.592 2.738 7.801
3.649 2.738 4.418
5.287 0.362 6.168
5.287 5.113 6.168
6.924 2.738 4.418
6.981 2.738 7.801

---

CsLi2IrCl8 (PBE, relaxed); ΔE_f (raw) = -1.09 eV per atom; crystal system = triclinic
1.0
6.068 0.000 0.000
0.207 7.158 0.000
1.257 1.458 8.110
Cs Li Ir Cl
1 2 1 8
Cartesian
0.000 0.000 0.000
3.276 3.883 1.512
4.256 4.733 6.598
0.732 4.308 4.055
1.754 4.740 6.125
2.151 2.534 3.687
2.247 5.707 2.978
3.028 1.846 0.383
4.504 6.770 7.727
5.285 2.910 5.132
5.381 6.083 4.423
5.778 3.876 1.985

---

Cs2MgIrCl6 (PBE, relaxed); ΔE_f (raw) = -1.28 eV per atom; crystal system = cubic
1.0
0.000 5.086 5.086
5.086 0.000 5.086
5.086 5.086 0.000
Cs Mg Ir Cl
2 1 1 6
Cartesian
2.543 2.543 2.543
7.628 7.628 7.628
0.000 0.000 0.000
5.086 5.086 5.086
5.086 5.086 2.613
5.086 2.613 5.086
7.558 5.086 5.086
2.613 5.086 5.086
5.086 7.558 5.086
5.086 5.086 7.558

---

Cs2IrNCl6 (PBE, relaxed); ΔE_f (raw) = -0.58 eV per atom; crystal system = cubic
1.0
0.000 5.363 5.363
5.363 0.000 5.363
5.363 5.363 0.000
Cs Ir N Cl
2 1 1 6
Cartesian
2.682 2.682 2.682
8.045 8.045 8.045
0.000 0.000 0.000
5.363 5.363 5.363
5.363 5.363 2.348
5.363 2.348 5.363
8.378 5.363 5.363
2.348 5.363 5.363
5.363 8.378 5.363
5.363 5.363 8.378

---

CsNaIrCl6 (PBE, relaxed); ΔE_f (raw) = -1.10 eV per atom; crystal system = monoclinic
1.0
3.456 -5.995 0.000
3.456 5.995 0.000
-0.007 0.000 7.500
Cs Na Ir Cl
1 1 1 6
Cartesian
0.000 0.000 0.000
3.453 -1.995 3.750
3.453 1.999 3.750
1.539 2.054 2.392
2.450 3.627 5.111
4.455 3.627 2.389
2.546 0.315 5.111
4.359 0.315 2.389
5.366 2.054 5.107

---

CsNa2IrCl8 (PBE, relaxed); ΔE_f (raw) = -1.05 eV per atom; crystal system = triclinic
1.0
5.828 0.000 0.000
-0.330 6.424 0.000
-0.057 -0.012 9.401
Cs Na Ir Cl
1 2 1 8
Cartesian
0.000 0.000 0.000
2.694 3.203 6.856
2.747 3.209 2.545
-0.028 -0.006 4.700
1.196 1.996 4.689
1.034 5.537 3.044
1.033 5.557 6.370
1.319 3.213 0.001
4.122 3.199 9.400
4.408 0.856 3.031
4.407 0.876 6.357
4.245 4.417 4.712

---

Cs2NiIrCl6 (PBE, relaxed); ΔE_f (raw) = -0.95 eV per atom; crystal system = tetragonal
1.0
-3.522 3.522 4.989
3.522 -3.522 4.989
3.522 3.522 -4.989
Cs Ni Ir Cl
2 1 1 6
Cartesian
3.522 0.000 2.494
0.000 3.522 2.494
0.000 0.000 0.000
0.000 0.000 4.989
0.000 0.000 2.548
1.797 1.797 0.000
1.725 -1.725 4.989
-1.725 1.725 4.989
0.000 0.000 7.430
1.725 1.725 4.989

---

CsPIrCl2 (PBE, relaxed); ΔE_f (raw) = 1.75 eV per atom; crystal system = tetragonal; excess energy over the best structure of this formula in the dataset = 2.242 eV per atom
1.0
5.796 0.000 0.000
0.000 5.796 0.000
0.000 0.000 5.940
Cs P Ir Cl
1 1 1 2
Cartesian
0.000 0.000 0.000
0.000 0.000 2.970
2.898 2.898 2.970
0.000 2.898 0.000
2.898 0.000 0.000

---

CsPIrCl2 (PBE, relaxed); ΔE_f (raw) = -0.50 eV per atom; crystal system = tetragonal; excess energy over the best structure of this formula in the dataset = 0.000 eV per atom
1.0
5.412 0.000 0.000
0.000 5.412 0.000
0.000 0.000 4.433
Cs P Ir Cl
1 1 1 2
Cartesian
0.000 0.000 0.000
2.706 2.706 0.000
2.706 2.706 2.217
0.000 2.706 2.217
2.706 0.000 2.217

---

CsIrPbCl6 (PBE, relaxed); ΔE_f (raw) = -1.05 eV per atom; crystal system = trigonal
1.0
7.071 0.000 0.000
-3.535 6.123 0.000
0.000 0.000 7.476
Cs Ir Pb Cl
1 1 1 6
Cartesian
0.000 0.000 0.000
3.535 2.041 3.738
0.000 4.082 3.738
2.608 0.357 5.135
1.613 2.080 2.341
4.463 0.357 2.341
2.541 3.686 5.135
5.458 2.080 5.135
4.530 3.686 2.341

---

CsRbIrCl6 (PBE, relaxed); ΔE_f (raw) = -1.13 eV per atom; crystal system = trigonal
1.0
7.707 0.000 0.000
-3.854 6.675 0.000
0.000 0.000 6.786
Cs Rb Ir Cl
1 1 1 6
Cartesian
0.000 0.000 0.000
0.000 4.450 3.393
3.854 2.225 3.393
2.892 0.576 4.763
1.945 2.217 2.023
4.815 0.576 2.023
2.906 3.882 4.763
5.763 2.217 4.763
4.801 3.882 2.023

---

Cs2RbIrCl8 (PBE, relaxed); ΔE_f (raw) = -1.14 eV per atom; crystal system = triclinic
1.0
6.050 0.000 0.000
-1.532 7.175 0.000
0.000 -0.008 10.457
Cs Rb Ir Cl
2 1 1 8
Cartesian
-1.530 7.171 2.518
6.047 -0.003 7.939
2.259 3.584 5.228
2.259 3.588 0.000
-0.879 5.248 5.229
0.279 2.410 0.005
1.449 5.004 8.775
1.455 5.015 1.682
3.062 2.152 8.775
3.068 2.163 1.681
4.238 4.758 10.452
5.396 1.920 5.227

---

Cs2IrRuCl6 (PBE, relaxed); ΔE_f (raw) = -0.78 eV per atom; crystal system = cubic
1.0
0.000 5.066 5.066
5.066 0.000 5.066
5.066 5.066 0.000
Cs Ir Ru Cl
2 1 1 6
Cartesian
2.533 2.533 2.533
7.599 7.599 7.599
0.000 0.000 0.000
5.066 5.066 5.066
5.066 5.066 2.463
5.066 2.463 5.066
7.668 5.066 5.066
2.463 5.066 5.066
5.066 7.668 5.066
5.066 5.066 7.668

---

CsIrSCl2 (PBE, relaxed); ΔE_f (raw) = -0.63 eV per atom; crystal system = tetragonal; excess energy over the best structure of this formula in the dataset = 0.000 eV per atom
1.0
5.333 0.000 0.000
0.000 5.333 0.000
0.000 0.000 4.447
Cs Ir S Cl
1 1 1 2
Cartesian
0.000 0.000 0.000
2.667 2.667 2.224
2.667 2.667 0.000
0.000 2.667 2.224
2.667 0.000 2.224

---

CsIrS2Cl (PBE, relaxed); ΔE_f (raw) = -0.34 eV per atom; crystal system = tetragonal; excess energy over the best structure of this formula in the dataset = 0.000 eV per atom
1.0
4.669 0.000 0.000
0.000 4.669 0.000
0.000 0.000 5.646
Cs Ir S Cl
1 1 2 1
Cartesian
0.000 0.000 0.000
2.334 2.334 2.823
0.000 2.334 2.823
2.334 0.000 2.823
2.334 2.334 0.000

---

no.,theoretical density (g/cm3),magnetic moment (μB/f.u.)
1,3.55,2.00
2,3.66,0.14
3,3.45,2.25
4,3.95,5.04
5,10.92,2.08
6,3.46,0.16
7,3.74,0.00
8,2.89,0.00
9,2.94,2.12
10,4.39,0.00
11,3.69,4.00
12,3.00,1.07
13,3.09,1.64
14,4.89,1.00
15,3.55,3.36
16,5.46,0.00
17,3.82,0.00
18,2.96,1.07
19,3.03,2.08
20,4.93,3.00
21,5.62,0.00
22,5.73,0.10